No. 1
A plane-wave DFT calculation with PBE-GGA was carried out for MnCo2Mo after structural relaxation.

As for the energy above the most stable polymorph in this dataset: 0.133 eV/atom. As for the spin magnetization: 0.00 μB/cell. The energy is -33.71 eV/cell. The value obtained for the formation energy is 0.50 eV/f.u.

Unit cell a=4.3651 b=4.3651 c=4.5062 alpha=98.88 beta=98.88 gamma=34.18
Atoms (fractional coordinates):
Mn (0.0000, 0.0000, 0.0000)
Co (0.4880, 0.4880, 0.4453)
Co (0.7388, 0.7388, 0.1897)
Mo (0.2421, 0.2421, 0.6945)


No. 2
A plane-wave DFT calculation with PBE-GGA was carried out for KSr2 after structural relaxation.

As for the spin magnetization: 0.00 μB/cell. The energy is -4.29 eV/cell. The value obtained for the formation energy is 0.17 eV/f.u.

Unit cell a=4.3085 b=4.3085 c=11.0712 alpha=90.00 beta=90.00 gamma=120.00
Atoms (fractional coordinates):
K (0.0000, 0.0000, 0.0000)
Sr (0.3333, 0.6667, 0.6549)
Sr (0.6667, 0.3333, 0.3451)


No. 3
A plane-wave DFT calculation with PBE-GGA was carried out for Nd5Tl2CdIr2 after structural relaxation.

As for the spin magnetization: 0.00 μB/cell. The energy is -102.95 eV/cell. The value obtained for the formation energy is -4.27 eV/f.u.

Unit cell a=12.2456 b=12.2456 c=3.8342 alpha=90.00 beta=90.00 gamma=90.00
Atoms (fractional coordinates):
Nd (0.0000, 0.5000, 0.0000)
Nd (0.0770, 0.2073, 0.0000)
Nd (0.2073, 0.9230, 0.0000)
Nd (0.2927, 0.4230, 0.0000)
Nd (0.4230, 0.7073, 0.0000)
Nd (0.5000, 0.0000, 0.0000)
Nd (0.5770, 0.2927, 0.0000)
Nd (0.7073, 0.5770, 0.0000)
Nd (0.7927, 0.0770, 0.0000)
Nd (0.9230, 0.7927, 0.0000)
Tl (0.1745, 0.6745, 0.5000)
Tl (0.3255, 0.1745, 0.5000)
Tl (0.6745, 0.8255, 0.5000)
Tl (0.8255, 0.3255, 0.5000)
Cd (0.0000, 0.0000, 0.5000)
Cd (0.5000, 0.5000, 0.5000)
Ir (0.1302, 0.3698, 0.5000)
Ir (0.3698, 0.8698, 0.5000)
Ir (0.6302, 0.1302, 0.5000)
Ir (0.8698, 0.6302, 0.5000)


No. 4
A plane-wave DFT calculation with PBE-GGA was carried out for K2PtPbF8 after structural relaxation.

For the formation energy (no corrections), the calculation gives -23.58 eV/f.u. As for the spin magnetization: 0.14 μB/cell. The energy is -50.50 eV/cell.

Unit cell a=5.4237 b=5.4237 c=7.6991 alpha=90.00 beta=90.00 gamma=120.00
Atoms (fractional coordinates):
K (0.3333, 0.6667, 0.3135)
K (0.6667, 0.3333, 0.6865)
Pt (0.0000, 0.0000, 0.5000)
Pb (0.0000, 0.0000, 0.0000)
F (0.1601, 0.3202, 0.6652)
F (0.1601, 0.8399, 0.6652)
F (0.3202, 0.1601, 0.3348)
F (0.3333, 0.6667, 0.9978)
F (0.6667, 0.3333, 0.0022)
F (0.6798, 0.8399, 0.6652)
F (0.8399, 0.1601, 0.3348)
F (0.8399, 0.6798, 0.3348)


No. 5
A plane-wave DFT calculation with PBE-GGA was carried out for BeVSe2N after structural relaxation.

As for the energy above the most stable polymorph in this dataset: 0.109 eV/atom. For the formation energy (no corrections), the calculation gives 2.38 eV/f.u. As for the spin magnetization: 0.00 μB/cell. The energy is -25.76 eV/cell.

Unit cell a=4.7979 b=4.7979 c=3.0942 alpha=90.00 beta=90.00 gamma=90.00
Atoms (fractional coordinates):
Be (0.0000, 0.0000, 0.0000)
V (0.5000, 0.5000, 0.5000)
Se (0.0000, 0.5000, 0.0000)
Se (0.5000, 0.0000, 0.0000)
N (0.0000, 0.0000, 0.5000)


No. 6
A plane-wave DFT calculation with PBE-GGA was carried out for BaTaAs2 after structural relaxation.

As for the energy above the most stable polymorph in this dataset: 1.287 eV/atom. As for the spin magnetization: 0.32 μB/cell. The energy is -20.40 eV/cell. The value obtained for the formation energy is 2.67 eV/f.u.

Unit cell a=5.0339 b=5.0339 c=5.0339 alpha=60.00 beta=60.00 gamma=60.00
Atoms (fractional coordinates):
Ba (0.0000, 0.0000, 0.0000)
Ta (0.2500, 0.2500, 0.2500)
As (0.5000, 0.5000, 0.5000)
As (0.7500, 0.7500, 0.7500)


No. 7
A plane-wave DFT calculation with PBE-GGA was carried out for Pm2PbCl8 after structural relaxation.

As for the energy above the most stable polymorph in this dataset: 0.000 eV/atom. For the formation energy (no corrections), the calculation gives -21.41 eV/f.u. As for the spin magnetization: 0.00 μB/cell. The energy is -49.39 eV/cell.

Unit cell a=7.1470 b=7.1470 c=7.2549 alpha=101.00 beta=101.00 gamma=76.04
Atoms (fractional coordinates):
Pm (0.1808, 0.1808, 0.4458)
Pm (0.8192, 0.8192, 0.5542)
Pb (0.5000, 0.5000, 0.0000)
Cl (0.0634, 0.0634, 0.7398)
Cl (0.1699, 0.5519, 0.6775)
Cl (0.3022, 0.3022, 0.1706)
Cl (0.4481, 0.8301, 0.3225)
Cl (0.5519, 0.1699, 0.6775)
Cl (0.6978, 0.6978, 0.8294)
Cl (0.8301, 0.4481, 0.3225)
Cl (0.9366, 0.9366, 0.2602)


No. 8
A plane-wave DFT calculation with PBE-GGA was carried out for AlHg after structural relaxation.

As for the spin magnetization: 0.00 μB/cell. The energy is -7.16 eV/cell. The value obtained for the formation energy is 0.47 eV/f.u.

Unit cell a=3.8571 b=3.8571 c=7.0298 alpha=90.00 beta=90.00 gamma=120.00
Atoms (fractional coordinates):
Al (0.3333, 0.6667, 0.2500)
Al (0.6667, 0.3333, 0.7500)
Hg (0.0000, 0.0000, 0.0000)
Hg (0.0000, 0.0000, 0.5000)


No. 9
A plane-wave DFT calculation with PBE-GGA was carried out for Be2BiCl after structural relaxation.

As for the energy above the most stable polymorph in this dataset: 0.000 eV/atom. For the formation energy (no corrections), the calculation gives 0.29 eV/f.u. As for the spin magnetization: 0.00 μB/cell. The energy is -25.77 eV/cell.

Unit cell a=6.8689 b=6.8689 c=6.8689 alpha=133.16 beta=133.16 gamma=68.40
Atoms (fractional coordinates):
Be (0.1072, 0.6250, 0.9822)
Be (0.3750, 0.3572, 0.4822)
Be (0.6428, 0.1250, 0.0178)
Be (0.8750, 0.8928, 0.5178)
Bi (0.2500, 0.7500, 0.5000)
Bi (0.5000, 0.5000, 0.0000)
Cl (0.0000, 0.0000, 0.0000)
Cl (0.7500, 0.2500, 0.5000)


No. 10
A plane-wave DFT calculation with PBE-GGA was carried out for CdRhCl2 after structural relaxation.

As for the energy above the most stable polymorph in this dataset: 0.393 eV/atom. For the formation energy (no corrections), the calculation gives 0.12 eV/f.u. As for the spin magnetization: 0.00 μB/cell. The energy is -11.84 eV/cell.

Unit cell a=5.2288 b=5.2288 c=3.6863 alpha=110.48 beta=110.48 gamma=104.82
Atoms (fractional coordinates):
Cd (0.0000, 0.0000, 0.0000)
Rh (0.5000, 0.5000, 0.0000)
Cl (0.0000, 0.5000, 0.0000)
Cl (0.5000, 0.0000, 0.0000)


No. 11
A plane-wave DFT calculation with PBE-GGA was carried out for LaTa2Pb after structural relaxation.

As for the spin magnetization: 0.00 μB/cell. The energy is -30.83 eV/cell. The value obtained for the formation energy is 1.51 eV/f.u.

Unit cell a=10.2224 b=10.2224 c=10.2224 alpha=18.93 beta=18.93 gamma=18.93
Atoms (fractional coordinates):
La (0.0000, 0.0000, 0.0000)
Ta (0.2461, 0.2461, 0.2461)
Ta (0.5159, 0.5159, 0.5159)
Pb (0.7672, 0.7672, 0.7672)


No. 12
A plane-wave DFT calculation with PBE-GGA was carried out for Na2BiP2Pd5 after structural relaxation.

As for the spin magnetization: 0.00 μB/cell. The energy is -95.14 eV/cell. The value obtained for the formation energy is -4.27 eV/f.u.

Unit cell a=10.4786 b=10.4786 c=3.3628 alpha=90.00 beta=90.00 gamma=90.00
Atoms (fractional coordinates):
Na (0.1756, 0.3244, 0.0000)
Na (0.3244, 0.8244, 0.0000)
Na (0.6756, 0.1756, 0.0000)
Na (0.8244, 0.6756, 0.0000)
Bi (0.0000, 0.0000, 0.0000)
Bi (0.5000, 0.5000, 0.0000)
P (0.1224, 0.6224, 0.0000)
P (0.3776, 0.1224, 0.0000)
P (0.6224, 0.8776, 0.0000)
P (0.8776, 0.3776, 0.0000)
Pd (0.0000, 0.5000, 0.5000)
Pd (0.0713, 0.7734, 0.5000)
Pd (0.2266, 0.0713, 0.5000)
Pd (0.2734, 0.5713, 0.5000)
Pd (0.4287, 0.2734, 0.5000)
Pd (0.5000, 0.0000, 0.5000)
Pd (0.5713, 0.7266, 0.5000)
Pd (0.7266, 0.4287, 0.5000)
Pd (0.7734, 0.9287, 0.5000)
Pd (0.9287, 0.2266, 0.5000)